LiSi2Hg after structural relaxation, computed with PBE-GGA.

Properties
The formation energy without anion corrections is 0.17 eV per atom.

Lattice parameters (Å, degrees): 5.6644 5.6644 5.6644 142.06 142.09 54.72
Element x y z (fractional)
Hg 0.7500 0.2500 0.5000
Li 0.2500 0.7500 0.5000
Si 0.0002 0.0002 0.0000
Si 0.4998 0.4998 0.0000

---

RePbAu2 after structural relaxation, computed with PBE-GGA.

Properties
Its total DFT energy (no corrections) is -5.08 eV per atom.

Lattice parameters (Å, degrees): 5.5701 5.5701 5.3645 64.54 64.54 31.06
Element x y z (fractional)
Au 0.9776 0.9776 0.9303
Au 0.7379 0.7379 0.8196
Pb 0.5208 0.5208 0.4016
Re 0.2637 0.2637 0.3484

---

Cs3Zn5Au3 after structural relaxation, computed with PBE-GGA.

Properties
Its total DFT energy (no corrections) is -1.78 eV per atom.

Lattice parameters (Å, degrees): 6.6927 8.0130 8.0130 120.00 90.00 90.00
Element x y z (fractional)
Cs 0.0000 0.4947 0.0000
Cs 0.0000 0.0000 0.4947
Cs 0.0000 0.5053 0.5053
Zn 0.5000 0.6667 0.3333
Zn 0.5000 0.3333 0.6667
Zn 0.5000 0.3090 0.0000
Zn 0.5000 0.6910 0.6910
Zn 0.5000 0.0000 0.3090
Au 0.5000 0.6600 0.0000
Au 0.5000 0.3400 0.3400
Au 0.5000 0.0000 0.6600

---

Tb2Y3TmP6 after structural relaxation, computed with PBE-GGA.

Properties
Its total DFT energy (no corrections) is -7.08 eV per atom.

Lattice parameters (Å, degrees): 6.9415 6.9415 6.9425 99.58 99.58 119.99
Element x y z (fractional)
Tb 0.3335 0.6665 0.0000
Tb 0.6665 0.3335 0.0000
Y 0.1672 0.8328 0.5000
Y 0.8328 0.1672 0.5000
Y 0.5000 0.5000 0.5000
Tm 0.0000 0.0000 0.0000
P 0.9171 0.5864 0.7512
P 0.7525 0.7525 0.2493
P 0.0829 0.4136 0.2488
P 0.5864 0.9171 0.7512
P 0.2475 0.2475 0.7507
P 0.4136 0.0829 0.2488

---

Ac3Pr2Ho3 after structural relaxation, computed with PBE-GGA.

Properties
Its total DFT energy (no corrections) is -4.27 eV per atom.

Lattice parameters (Å, degrees): 6.8057 10.1828 10.1828 60.00 90.00 90.00
Element x y z (fractional)
Ac 0.7500 0.0000 0.2329
Ac 0.7500 0.2329 0.7671
Ac 0.7500 0.7671 0.0000
Ac 0.2500 0.0000 0.7671
Ac 0.2500 0.7671 0.2329
Ac 0.2500 0.2329 0.0000
Pr 0.0000 0.3333 0.3333
Pr 0.5000 0.6667 0.6667
Pr 0.0000 0.6667 0.6667
Pr 0.5000 0.3333 0.3333
Ho 0.7500 0.0000 0.5870
Ho 0.7500 0.5870 0.4130
Ho 0.7500 0.4130 0.0000
Ho 0.2500 0.0000 0.4130
Ho 0.2500 0.4130 0.5870
Ho 0.2500 0.5870 0.0000

---

TiOs2 after structural relaxation, computed with PBE-GGA.

Properties
Its total DFT energy (no corrections) is -10.31 eV per atom.

Lattice parameters (Å, degrees): 5.1260 5.1260 8.3572 90.00 90.00 120.00
Element x y z (fractional)
Os 0.8266 0.1734 0.2500
Os 0.8266 0.6532 0.2500
Os 0.6532 0.8266 0.7500
Os 0.1734 0.8266 0.7500
Os 0.3468 0.1734 0.2500
Os 0.0000 0.0000 0.0000
Os 0.1734 0.3468 0.7500
Os 0.0000 0.0000 0.5000
Ti 0.6667 0.3333 0.5686
Ti 0.3333 0.6667 0.4314
Ti 0.3333 0.6667 0.0686
Ti 0.6667 0.3333 0.9314

---

SrBeTlAs2 after structural relaxation, computed with PBE-GGA.

Properties
Its total DFT energy (no corrections) is -3.07 eV per atom.

Lattice parameters (Å, degrees): 5.5557 4.5113 5.5557 90.00 90.00 90.00
Element x y z (fractional)
Sr 0.5000 0.5000 0.5000
Tl 0.0000 0.0000 0.0000
As 0.0000 0.0000 0.5000
As 0.5000 0.0000 0.0000
Be 0.0000 0.5000 0.0000

---

DyGa4PdRu2 after structural relaxation, computed with PBE-GGA.

Properties
Its total DFT energy (no corrections) is -5.53 eV per atom.

Lattice parameters (Å, degrees): 4.2741 4.2741 8.7997 75.94 75.94 60.00
Element x y z (fractional)
Dy 0.0000 0.0000 0.0000
Ga 0.3970 0.3970 0.8090
Ga 0.8715 0.8715 0.3854
Ga 0.1285 0.1285 0.6146
Ga 0.6030 0.6030 0.1910
Pd 0.5000 0.5000 0.5000
Ru 0.7654 0.7654 0.7038
Ru 0.2346 0.2346 0.2962

---

PdAu after structural relaxation, computed with PBE-GGA.

Properties
Its total DFT energy (no corrections) is -4.09 eV per atom.

Lattice parameters (Å, degrees): 7.4098 7.4098 4.6511 90.00 90.00 120.00
Element x y z (fractional)
Pd 0.5154 0.9005 0.2500
Pd 0.6149 0.5154 0.7500
Pd 0.0995 0.6149 0.2500
Pd 0.4846 0.0995 0.7500
Pd 0.3851 0.4846 0.2500
Pd 0.9005 0.3851 0.7500
Au 0.9373 0.1947 0.2500
Au 0.7426 0.9373 0.7500
Au 0.8053 0.7426 0.2500
Au 0.0627 0.8053 0.7500
Au 0.2574 0.0627 0.2500
Au 0.1947 0.2574 0.7500

---

La3PbN after structural relaxation, computed with PBE-GGA.

Properties
The formation energy without anion corrections is 0.61 eV per atom.

Lattice parameters (Å, degrees): 5.4323 5.4323 13.2845 78.20 78.20 90.00
Element x y z (fractional)
Pb 0.0000 0.0000 0.0000
Pb 0.2500 0.7500 0.5000
N 0.6515 0.1515 0.6969
N 0.8485 0.3485 0.3031
La 0.6373 0.8787 0.2425
La 0.1213 0.3627 0.7575
La 0.1213 0.8798 0.7575
La 0.1202 0.8787 0.2425
La 0.3100 0.3100 0.3799
La 0.6900 0.6900 0.6201